VASP calculation (PBE-GGA) on a relaxed structure of Cs2RbBi3.

extended XYZ file:
```
12
Lattice="-3.0633 -5.5201 -4.0715 3.6571 -1.9343 -6.2702 8.3656 -2.6021 10.2304" Properties=species:S:1:pos:R:3 pbc="T T T"
Cs 8.8383 -6.4548 2.8580
Cs 0.1211 -3.6017 -2.9693
Bi 3.0653 -6.2541 -2.0013
Cs 6.3104 -3.9415 -2.3689
Cs 2.6490 -6.1149 2.2576
Rb 3.0809 -2.0789 -0.3208
Bi 3.3463 -5.4106 -4.9429
Bi 5.6130 -4.6458 4.8316
Bi 5.8941 -3.8023 1.8900
Bi 5.5092 -7.7138 4.6873
Rb 5.8785 -7.9775 0.2095
Bi 3.4502 -2.3427 -4.7986
```

Calculated values
Magnetic moment in Bohr magnetons per cell: 0.00
Space group: C2/c
Raw total energy in eV/atom: -2.734
E_form in meV per atom: -348